An optimized crystal structure of BeMo2Ru, computed with PBE.

- crystal system = tetragonal
- formation enthalpy at 0 K (eV per atom) = 0.056

Cell lengths 2.748, 2.748, 7.204 Å; angles 90.00, 90.00, 90.00 degrees
Space group P4/mmm (No. 123)
Asymmetric unit:
Be 0.000 0.000 0.000 x1
Mo 0.500 0.500 0.232 x2
Ru 0.000 0.000 0.500 x1